# Nd2SbO PBE optimized geometry
# relative energy among the computed polymorphs: 301 meV per atom
data_Nd2SbO
_space_group_name_H-M_alt 'R -3 m'
_space_group_IT_number 166
_space_group_name_Hall '-R 3 2"'
_cell_length_a 3.8993
_cell_length_b 3.8993
_cell_length_c 21.2810
_cell_angle_alpha 90.00
_cell_angle_beta 90.00
_cell_angle_gamma 120.00
loop_
_atom_site_label
_atom_site_fract_x
_atom_site_fract_y
_atom_site_fract_z
_atom_site_occupancy
Nd1 0.0000 0.0000 0.2292 1
Sb1 0.0000 0.0000 0.0000 1
O1 0.0000 0.0000 0.5000 1

***

# YGe2Rh2 PBE optimized geometry
# formation energy: -4.47 eV/f.u.
data_YGe2Rh2
_space_group_name_H-M_alt 'I 4/m m m'
_space_group_IT_number 139
_space_group_name_Hall '-I 4 2'
_cell_length_a 4.1387
_cell_length_b 4.1387
_cell_length_c 10.3786
_cell_angle_alpha 90.00
_cell_angle_beta 90.00
_cell_angle_gamma 90.00
loop_
_atom_site_label
_atom_site_fract_x
_atom_site_fract_y
_atom_site_fract_z
_atom_site_occupancy
Y1 0.0000 0.0000 0.0000 1
Ge1 0.0000 0.0000 0.3786 1
Rh1 0.0000 0.5000 0.2500 1

***

# NiAgS2Cl PBE optimized geometry
# relative energy among the computed polymorphs: 710 meV per atom
data_NiAgS2Cl
_space_group_name_H-M_alt 'P 4/m m m'
_space_group_IT_number 123
_space_group_name_Hall '-P 4 2'
_cell_length_a 4.8587
_cell_length_b 4.8587
_cell_length_c 4.8659
_cell_angle_alpha 90.00
_cell_angle_beta 90.00
_cell_angle_gamma 90.00
loop_
_atom_site_label
_atom_site_fract_x
_atom_site_fract_y
_atom_site_fract_z
_atom_site_occupancy
Ni1 0.0000 0.0000 0.0000 1
Ag1 0.5000 0.5000 0.5000 1
S1 0.0000 0.5000 0.5000 1
Cl1 0.5000 0.5000 0.0000 1

***

# Pr3Zn4Pt2 PBE optimized geometry
# formation energy: -6.13 eV/f.u.
data_Pr3Zn4Pt2
_space_group_name_H-M_alt 'C 1 2/m 1'
_space_group_IT_number 12
_cell_length_a 10.9529
_cell_length_b 4.4904
_cell_length_c 8.6548
_cell_angle_alpha 90.00
_cell_angle_beta 111.41
_cell_angle_gamma 90.00
loop_
_space_group_symop_operation_xyz
'x,y,z'
'-x,-y,-z'
'-x,y,-z'
'x,-y,z'
'x+1/2,y+1/2,z'
'-x+1/2,-y+1/2,-z'
'-x+1/2,y+1/2,-z'
'x+1/2,-y+1/2,z'
loop_
_atom_site_label
_atom_site_fract_x
_atom_site_fract_y
_atom_site_fract_z
_atom_site_occupancy
Pr1 0.0000 0.0000 0.0000 1
Pr2 0.1778 0.5000 0.6527 1
Zn1 0.0390 0.0000 0.3768 1
Zn2 0.2207 0.5000 0.0528 1
Pt1 0.1035 0.5000 0.2710 1